{"formula": "Tb2Pm3Sm8", "functional": "PBE-GGA", "state": "relaxed", "cell": [[10.2038, -3.8649, 0.0000], [10.2038, 3.8649, 0.0000], [-0.0046, 0.0000, 5.7534]], "species": ["Tb", "Tb", "Pm", "Pm", "Pm", "Sm", "Sm", "Sm", "Sm", "Sm", "Sm", "Sm", "Sm"], "frac_coords": [[0.2414, 0.2414, 0.4994], [0.7586, 0.7586, 0.5006], [0.0000, 0.0000, 0.5000], [0.2894, 0.7106, 0.0000], [0.7106, 0.2894, 0.0000], [0.1342, 0.1342, 0.9997], [0.1842, 0.6006, 0.4999], [0.3272, 0.3272, 0.9996], [0.3994, 0.8158, 0.5001], [0.6006, 0.1842, 0.4999], [0.6728, 0.6728, 0.0004], [0.8158, 0.3994, 0.5001], [0.8658, 0.8658, 0.0003]], "formation_energy_ev_per_fu": 2.9, "dos_at_fermi_per_ev_cell": 20.689, "e_above_lowest_polymorph_kcal_per_mol_atoms": 1.44, "total_magnetization_mub_per_fu": 0.0}